{"formula": "Ac6BiTe3P2", "functional": "PBE", "state": "optimized geometry", "cell": [[10.229, -2.307, 0.000], [10.229, 2.307, 0.000], [-2.351, 0.000, 9.142]], "species": ["Ac", "Ac", "Ac", "Ac", "Ac", "Ac", "Bi", "Te", "Te", "Te", "P", "P"], "fractional_positions": [[0.013, 0.013, 0.258], [0.325, 0.325, 0.434], [0.330, 0.330, 0.886], [0.670, 0.670, 0.114], [0.675, 0.675, 0.566], [0.987, 0.987, 0.742], [0.500, 0.500, 0.000], [0.162, 0.162, 0.833], [0.500, 0.500, 0.500], [0.838, 0.838, 0.167], [0.169, 0.169, 0.336], [0.831, 0.831, 0.664]], "total_energy_ha_per_atom": -0.2028, "vol_a3_per_atom": 35.95, "e_form_raw_kj_per_mol_atoms": -140.2}